Entry 1:
Below is Cs3AsI6 at its PBEsol-relaxed geometry, with properties calculated at the meta-GGA SCAN level.

Summary:
ΔE_f (raw), eV/atom: -1.058
Energy, eV/atom: -36.465
Size of the total moment, μB/atom: 0.00
SG: Fm-3m (225)

The structure in POSCAR format:
```
Cs3AsI6
1.0
-8.603 -0.966 2.227
-2.634 -7.160 4.658
-2.539 0.899 8.523
I Cs As
6 3 1
direct
0.224 0.776 0.224
0.224 0.224 0.776
0.776 0.776 0.224
0.776 0.224 0.224
0.224 0.776 0.776
0.776 0.224 0.776
0.500 0.500 0.500
0.750 0.750 0.750
0.250 0.250 0.250
0.000 0.000 0.000
```


Entry 2:
Below is Cs2KAsI6 at its PBEsol-relaxed geometry, with properties calculated at the meta-GGA SCAN level.

Summary:
ΔE_f (raw), eV/atom: -1.076
Energy, eV/atom: -33.535
Size of the total moment, μB/atom: 0.00
SG: Fm-3m (225)

The structure in POSCAR format:
```
Cs2KAsI6
1.0
8.622 0.000 0.000
4.311 7.467 0.000
4.311 2.489 7.040
I Cs As K
6 2 1 1
direct
0.232 0.768 0.768
0.768 0.232 0.768
0.232 0.232 0.768
0.768 0.232 0.232
0.768 0.768 0.232
0.232 0.768 0.232
0.750 0.750 0.750
0.250 0.250 0.250
0.000 0.000 0.000
0.500 0.500 0.500
```


Entry 3:
Below is CsAsIN2 at its PBEsol-relaxed geometry, with properties calculated at the meta-GGA SCAN level.

Summary:
ΔE_f (raw), eV/atom: 1.097
Energy, eV/atom: -21.568
Size of the total moment, μB/atom: 0.61
SG: P4/mmm (123)

The structure in POSCAR format:
```
CsAsIN2
1.0
-0.566 1.362 4.379
3.659 -2.526 1.259
3.435 4.500 -0.956
Cs N I As
1 2 1 1
direct
0.500 0.500 0.500
0.000 0.500 0.000
0.500 0.000 0.000
0.000 0.000 0.500
0.000 0.000 0.000
```


Entry 4:
Below is Cs2RbAsI6 at its PBEsol-relaxed geometry, with properties calculated at the meta-GGA SCAN level.

Summary:
ΔE_f (raw), eV/atom: -1.069
Energy, eV/atom: -34.769
Size of the total moment, μB/atom: 0.00
SG: Fm-3m (225)

The structure in POSCAR format:
```
Cs2RbAsI6
1.0
8.765 0.000 0.000
4.382 7.591 0.000
4.382 2.530 7.157
As I Rb Cs
1 6 1 2
direct
0.000 0.000 0.000
0.228 0.772 0.772
0.772 0.228 0.228
0.228 0.228 0.772
0.228 0.772 0.228
0.772 0.228 0.772
0.772 0.772 0.228
0.500 0.500 0.500
0.250 0.250 0.250
0.750 0.750 0.750
```


Entry 5:
Below is CsAs2Ir2 at its PBEsol-relaxed geometry, with properties calculated at the meta-GGA SCAN level.

Summary:
Formation energy from the elements, meV/atom: -610.4
Energy, eV/atom: -44.688
Size of the total moment, μB/atom: 0.00
SG: I4/mmm (139)

The structure in POSCAR format:
```
CsAs2Ir2
1.0
4.010 0.000 0.000
0.000 4.010 0.000
-2.005 -2.005 7.236
As Ir Cs
2 2 1
direct
0.346 0.346 0.693
0.654 0.654 0.307
0.250 0.750 0.500
0.750 0.250 0.500
0.000 0.000 0.000
```


Entry 6:
Below is Cs3AsIr at its PBEsol-relaxed geometry, with properties calculated at the meta-GGA SCAN level.

Summary:
Formation energy from the elements, meV/atom: 722.9
Energy, eV/atom: -40.221
Size of the total moment, μB/atom: 0.30
SG: Pm-3m (221)

The structure in POSCAR format:
```
Cs3AsIr
1.0
-0.733 -5.293 2.278
3.129 -2.293 -4.324
4.839 0.682 3.140
As Cs Ir
1 3 1
direct
0.500 0.500 0.500
0.500 0.000 0.000
0.000 0.500 0.000
0.000 0.000 0.500
0.000 0.000 0.000
```


Entry 7:
Below is CsK2As2 at its PBEsol-relaxed geometry, with properties calculated at the meta-GGA SCAN level.

Summary:
Formation energy from the elements, meV/atom: -431.7
Energy, eV/atom: -19.402
Size of the total moment, μB/atom: 0.21
SG: I4/mmm (139)

The structure in POSCAR format:
```
CsK2As2
1.0
5.367 0.000 0.000
0.000 5.367 0.000
-2.683 -2.683 6.330
Cs As K
1 2 2
direct
0.000 0.000 0.000
0.594 0.594 0.188
0.406 0.406 0.812
0.750 0.250 0.500
0.250 0.750 0.500
```


Entry 8:
Below is CsKAs2 at its PBEsol-relaxed geometry, with properties calculated at the meta-GGA SCAN level.

Summary:
Formation energy from the elements, meV/atom: 230.8
Energy, eV/atom: -21.399
Size of the total moment, μB/atom: 0.00
SG: Fm-3m (225)

The structure in POSCAR format:
```
CsKAs2
1.0
-1.107 -2.051 5.143
2.192 -4.952 1.597
4.068 -0.157 3.913
As K Cs
2 1 1
direct
0.250 0.250 0.250
0.750 0.750 0.750
0.000 0.000 0.000
0.500 0.500 0.500
```


Entry 9:
Below is Cs2KTlAs at its PBEsol-relaxed geometry, with properties calculated at the meta-GGA SCAN level.

Summary:
Formation energy from the elements, meV/atom: -102.3
Energy, eV/atom: -35.402
Size of the total moment, μB/atom: 0.00
SG: P4/mmm (123)

The structure in POSCAR format:
```
Cs2KTlAs
1.0
5.423 0.000 0.000
0.000 7.236 0.000
0.000 0.000 7.236
K Tl Cs As
1 1 2 1
direct
0.500 0.500 0.500
0.500 0.000 0.000
0.000 0.500 0.000
0.000 0.000 0.500
0.000 0.000 0.000
```


Entry 10:
Below is Cs2KZnAs at its PBEsol-relaxed geometry, with properties calculated at the meta-GGA SCAN level.

Summary:
Formation energy from the elements, meV/atom: 309.3
Energy, eV/atom: -23.222
Size of the total moment, μB/atom: 0.07
SG: P4/mmm (123)

The structure in POSCAR format:
```
Cs2KZnAs
1.0
6.046 0.000 0.000
0.000 6.353 0.000
0.000 0.000 6.353
K Zn Cs As
1 1 2 1
direct
0.500 0.000 0.000
0.000 0.000 0.000
0.000 0.500 0.000
0.000 0.000 0.500
0.500 0.500 0.500
```


Entry 11:
Below is CsLa2As at its PBEsol-relaxed geometry, with properties calculated at the meta-GGA SCAN level.

Summary:
Formation energy from the elements, meV/atom: -210.0
Energy, eV/atom: -36.263
Size of the total moment, μB/atom: 0.00
SG: I-42d (122)

The structure in POSCAR format:
```
CsLa2As
1.0
7.090 0.000 0.000
3.545 6.322 0.000
3.545 0.000 6.322
La As Cs
4 2 2
direct
0.184 0.941 0.441
0.566 0.059 0.559
0.875 0.559 0.941
0.375 0.441 0.059
0.500 0.000 0.000
0.250 0.500 0.500
0.750 0.500 0.500
0.000 0.000 0.000
```


Entry 12:
Below is Cs2LiAs2 at its PBEsol-relaxed geometry, with properties calculated at the meta-GGA SCAN level.

Summary:
Formation energy from the elements, meV/atom: -367.8
Energy, eV/atom: -24.046
Size of the total moment, μB/atom: 0.10
SG: P4/mbm (127)

The structure in POSCAR format:
```
Cs2LiAs2
1.0
5.824 0.000 0.000
0.000 7.346 0.000
0.000 0.000 7.346
Cs As Li
4 4 2
direct
0.500 0.174 0.674
0.500 0.326 0.174
0.500 0.826 0.326
0.500 0.674 0.826
0.000 0.384 0.884
0.000 0.116 0.384
0.000 0.616 0.116
0.000 0.884 0.616
0.000 0.000 0.000
0.000 0.500 0.500
```


Entry 13:
Below is CsLi2As2 at its PBEsol-relaxed geometry, with properties calculated at the meta-GGA SCAN level.

Summary:
Formation energy from the elements, meV/atom: -290.4
Energy, eV/atom: -16.885
Size of the total moment, μB/atom: 0.00
SG: P4/mbm (127)

The structure in POSCAR format:
```
CsLi2As2
1.0
3.245 0.000 0.000
0.000 8.750 0.000
0.000 0.000 8.750
Li As Cs
4 4 2
direct
0.500 0.870 0.370
0.500 0.370 0.130
0.500 0.130 0.630
0.500 0.630 0.870
0.000 0.112 0.388
0.000 0.612 0.112
0.000 0.388 0.888
0.000 0.888 0.612
0.000 0.000 0.000
0.000 0.500 0.500
```


Entry 14:
Below is CsLi3As at its PBEsol-relaxed geometry, with properties calculated at the meta-GGA SCAN level.

Summary:
Formation energy from the elements, meV/atom: -381.9
Energy, eV/atom: -13.416
Size of the total moment, μB/atom: 0.00
SG: Pm-3m (221)

The structure in POSCAR format:
```
CsLi3As
1.0
5.077 0.000 0.000
0.000 5.077 0.000
0.000 0.000 5.077
As Li Cs
1 3 1
direct
0.000 0.000 0.000
0.000 0.500 0.000
0.500 0.000 0.000
0.000 0.000 0.500
0.500 0.500 0.500
```


Entry 15:
Below is CsLiAs2P at its PBEsol-relaxed geometry, with properties calculated at the meta-GGA SCAN level.

Summary:
Formation energy from the elements, meV/atom: 8.7
Energy, eV/atom: -18.187
Size of the total moment, μB/atom: 0.00
SG: P4/mmm (123)

The structure in POSCAR format:
```
CsLiAs2P
1.0
-2.096 -4.462 0.446
4.521 -2.035 0.889
-0.618 0.784 4.937
Cs As Li P
1 2 1 1
direct
0.500 0.500 0.500
0.000 0.500 0.000
0.000 0.000 0.500
0.500 0.000 0.000
0.000 0.000 0.000
```


Entry 16:
Below is CsMnAs2 at its PBEsol-relaxed geometry, with properties calculated at the meta-GGA SCAN level.

Summary:
Formation energy from the elements, meV/atom: 478.2
Energy, eV/atom: -23.634
Size of the total moment, μB/atom: 0.85
SG: Fm-3m (225)

The structure in POSCAR format:
```
CsMnAs2
1.0
-1.572 -1.739 4.533
1.476 -4.611 1.615
3.310 -0.412 3.862
Mn As Cs
1 2 1
direct
0.000 0.000 0.000
0.250 0.250 0.250
0.750 0.750 0.750
0.500 0.500 0.500
```


Entry 17:
Below is CsMo3As at its PBEsol-relaxed geometry, with properties calculated at the meta-GGA SCAN level.

Summary:
Formation energy from the elements, meV/atom: 1844.5
Energy, eV/atom: -30.687
Size of the total moment, μB/atom: 0.00
SG: Pm-3m (221)

The structure in POSCAR format:
```
CsMo3As
1.0
-2.933 1.713 -3.344
-3.101 -3.499 0.928
-2.121 2.746 3.268
As Mo Cs
1 3 1
direct
0.000 0.000 0.000
0.500 0.000 0.000
0.000 0.000 0.500
0.000 0.500 0.000
0.500 0.500 0.500
```


Entry 18:
Below is CsAsN2 at its PBEsol-relaxed geometry, with properties calculated at the meta-GGA SCAN level.

Summary:
ΔE_f (raw), eV/atom: 0.585
Energy, eV/atom: -18.561
Size of the total moment, μB/atom: 0.00
SG: R-3m (166)

The structure in POSCAR format:
```
CsAsN2
1.0
4.659 0.000 0.000
2.330 4.035 0.000
2.330 1.345 6.606
N Cs As
2 1 1
direct
0.916 0.916 0.252
0.084 0.084 0.748
0.500 0.500 0.500
0.000 0.000 0.000
```


Entry 19:
Below is CsAs2PN at its PBEsol-relaxed geometry, with properties calculated at the meta-GGA SCAN level.

Summary:
ΔE_f (raw), eV/atom: 1.090
Energy, eV/atom: -18.486
Size of the total moment, μB/atom: 0.00
SG: P4/mmm (123)

The structure in POSCAR format:
```
CsAs2PN
1.0
4.310 0.000 0.000
0.000 4.310 0.000
0.000 0.000 5.707
As N P Cs
2 1 1 1
direct
0.000 0.500 0.000
0.500 0.000 0.000
0.000 0.000 0.000
0.500 0.500 0.500
0.000 0.000 0.500
```


Entry 20:
Below is Cs2NaAs at its PBEsol-relaxed geometry, with properties calculated at the meta-GGA SCAN level.

Summary:
Formation energy from the elements, meV/atom: -141.4
Energy, eV/atom: -25.148
Size of the total moment, μB/atom: 0.00
SG: Fm-3m (225)

The structure in POSCAR format:
```
Cs2NaAs
1.0
6.033 0.000 0.000
3.017 5.225 0.000
3.017 1.742 4.926
Na Cs As
1 2 1
direct
0.000 0.000 0.000
0.250 0.250 0.250
0.750 0.750 0.750
0.500 0.500 0.500
```


Entry 21:
Below is CsNaAs3 at its PBEsol-relaxed geometry, with properties calculated at the meta-GGA SCAN level.

Summary:
Formation energy from the elements, meV/atom: 584.5
Energy, eV/atom: -19.935
Size of the total moment, μB/atom: 0.00
SG: Pm-3m (221)

The structure in POSCAR format:
```
CsNaAs3
1.0
5.216 0.000 0.000
0.000 5.216 0.000
0.000 0.000 5.216
Cs As Na
1 3 1
direct
0.500 0.500 0.500
0.500 0.000 0.000
0.000 0.500 0.000
0.000 0.000 0.500
0.000 0.000 0.000
```


Entry 22:
Below is Cs2NaAs7 at its PBEsol-relaxed geometry, with properties calculated at the meta-GGA SCAN level.

Summary:
Formation energy from the elements, meV/atom: -453.8
Energy, eV/atom: -22.571
Size of the total moment, μB/atom: 0.00
SG: P2_1/c (14)

The structure in POSCAR format:
```
Cs2NaAs7
1.0
10.132 0.000 0.054
0.000 10.763 0.000
0.060 0.000 11.863
As Na Cs
28 4 8
direct
0.682 0.827 0.223
0.829 0.496 0.904
0.315 0.079 0.583
0.219 0.847 0.791
0.898 0.859 0.326
0.171 0.504 0.096
0.182 0.673 0.223
0.514 0.545 0.749
0.335 0.861 0.612
0.719 0.653 0.791
0.281 0.347 0.209
0.486 0.455 0.251
0.318 0.173 0.777
0.602 0.359 0.674
0.329 0.004 0.904
0.685 0.921 0.417
0.815 0.421 0.583
0.185 0.579 0.417
0.102 0.141 0.674
0.014 0.955 0.749
0.986 0.045 0.251
0.665 0.139 0.388
0.818 0.327 0.777
0.781 0.153 0.209
0.398 0.641 0.326
0.671 0.996 0.096
0.835 0.639 0.612
0.165 0.361 0.388
0.444 0.312 0.464
0.556 0.688 0.536
0.944 0.188 0.464
0.056 0.812 0.536
0.958 0.798 0.013
0.352 0.001 0.268
0.148 0.501 0.732
0.458 0.702 0.013
0.042 0.202 0.987
0.852 0.499 0.268
0.648 0.999 0.732
0.542 0.298 0.987
```


Entry 23:
Below is CsNb3As at its PBEsol-relaxed geometry, with properties calculated at the meta-GGA SCAN level.

Summary:
Formation energy from the elements, meV/atom: 1262.2
Energy, eV/atom: -30.216
Size of the total moment, μB/atom: 0.00
SG: Pm-3m (221)

The structure in POSCAR format:
```
CsNb3As
1.0
-1.012 0.234 4.807
-1.533 -4.672 -0.095
4.562 -1.518 1.034
Nb Cs As
3 1 1
direct
0.000 0.500 0.000
0.000 0.000 0.500
0.500 0.000 0.000
0.500 0.500 0.500
0.000 0.000 0.000
```


Entry 24:
Below is CsNbAs3 at its PBEsol-relaxed geometry, with properties calculated at the meta-GGA SCAN level.

Summary:
Formation energy from the elements, meV/atom: 2205.0
Energy, eV/atom: -24.097
Size of the total moment, μB/atom: 0.38
SG: Pm-3m (221)

The structure in POSCAR format:
```
CsNbAs3
1.0
5.335 0.000 0.000
0.000 5.335 0.000
0.000 0.000 5.335
As Cs Nb
3 1 1
direct
0.000 0.500 0.000
0.000 0.000 0.500
0.500 0.000 0.000
0.000 0.000 0.000
0.500 0.500 0.500
```


Entry 25:
Below is Cs2NiAs2 at its PBEsol-relaxed geometry, with properties calculated at the meta-GGA SCAN level.

Summary:
Formation energy from the elements, meV/atom: -528.2
Energy, eV/atom: -26.963
Size of the total moment, μB/atom: 0.00
SG: Cmcm (63)

The structure in POSCAR format:
```
Cs2NiAs2
1.0
6.039 0.000 0.000
0.000 7.057 0.000
0.000 3.528 7.222
As Cs Ni
4 4 2
direct
0.750 0.263 0.818
0.750 0.919 0.818
0.250 0.737 0.182
0.250 0.081 0.182
0.250 0.208 0.584
0.750 0.405 0.190
0.750 0.792 0.416
0.250 0.595 0.810
0.000 0.000 0.000
0.500 0.000 0.000
```